Compound: NiIr2BrO
Source: Alexandria via LeMat-Bulk
Functional: PBE with a Hubbard U
Structure: relaxed

Cell: 3.8742 3.8742 6.5285 Å, 90.00 90.00 90.00°
Closest atoms and distances in Å follow each position.
Space group P4/mmm (No. 123)
One atom of each set of equivalent atoms:
Ni: 0.0000 0.0000 0.0000  4 Br 2.74
Ir: 0.0000 0.5000 0.5000  2 O 1.94
Br: 0.5000 0.5000 0.0000  4 Ni 2.74
O: 0.5000 0.5000 0.5000  4 Ir 1.94

The spin magnetization comes out at 0.459 μB/atom. For the total energy, the calculation gives -23.1 eV/f.u.